Entry from the Alexandria database: an optimized crystal structure of La3PrTe6 (GGA-PBE).

Lattice parameters (Å, degrees): 7.583 8.518 11.638 90.00 90.81 90.00
Atoms (fractional coordinates):
La 0.949 0.385 0.752
La 0.551 0.885 0.748
La 0.051 0.615 0.248
Te 0.163 0.322 0.415
Te 0.837 0.678 0.585
Te 0.834 0.940 0.248
Te 0.334 0.560 0.748
Te 0.166 0.060 0.752
Te 0.661 0.178 0.582
Te 0.339 0.822 0.418
Te 0.839 0.678 0.918
La 0.500 0.500 0.000
Te 0.337 0.822 0.085
Te 0.161 0.322 0.082
La 0.000 0.000 0.500
Te 0.663 0.178 0.915
La 0.449 0.115 0.252
Pr 0.000 0.000 0.000
Te 0.666 0.440 0.252
Pr 0.500 0.500 0.500

## Properties
Crystal system: monoclinic
Raw formation energy in eV per atom: -1.49
Final energy in eV/atom: -5.33
Distance to the lowest polymorph of the same formula in eV/atom: 0.000
Space-group type: P2_1/c

***

Entry from the Alexandria database: an optimized crystal structure of Zr2Mo2Au (GGA-PBE).

Lattice parameters (Å, degrees): 7.445 7.445 3.539 90.00 90.00 90.00
Atoms (fractional coordinates):
Au 0.000 0.000 0.000
Mo 0.657 0.843 0.500
Zr 0.857 0.643 0.000
Zr 0.643 0.143 0.000
Zr 0.357 0.857 0.000
Mo 0.343 0.157 0.500
Au 0.500 0.500 0.000
Mo 0.843 0.343 0.500
Zr 0.143 0.357 0.000
Mo 0.157 0.657 0.500

## Properties
Crystal system: tetragonal
Final energy in eV/atom: -7.98
Distance to the lowest polymorph of the same formula in eV/atom: 0.173
Space-group type: P4/mbm
Energy of formation from the pure elements in eV per atom: 0.42

***

Entry from the Alexandria database: an optimized crystal structure of CoSn6Rh3 (GGA-PBE).

Lattice parameters (Å, degrees): 6.992 6.547 8.775 90.00 87.97 90.00
Atoms (fractional coordinates):
Sn 0.321 0.483 0.747
Sn 0.679 0.517 0.253
Sn 0.667 0.145 0.930
Rh 0.530 0.833 0.748
Sn 0.333 0.855 0.070
Rh 0.030 0.667 0.248
Co 0.500 0.500 0.500
Sn 0.651 0.162 0.571
Sn 0.821 0.017 0.247
Sn 0.167 0.355 0.430
Sn 0.833 0.645 0.570
Co 0.000 0.000 0.000
Sn 0.349 0.838 0.429
Sn 0.151 0.338 0.071
Rh 0.000 0.000 0.500
Rh 0.470 0.167 0.252
Sn 0.179 0.983 0.753
Rh 0.500 0.500 0.000
Sn 0.849 0.662 0.929
Rh 0.970 0.333 0.752

## Properties
Crystal system: monoclinic
Final energy in eV/atom: -5.59
Space-group type: P2_1/c
Energy of formation from the pure elements in eV per atom: -0.28

***

Entry from the Alexandria database: an optimized crystal structure of ScNbV (GGA-PBE).

Lattice parameters (Å, degrees): 3.330 3.330 5.557 107.43 107.43 90.00
Atoms (fractional coordinates):
Nb 0.922 0.922 0.844
Sc 0.619 0.619 0.238
V 0.309 0.309 0.617

## Properties
Crystal system: tetragonal
Final energy in eV/atom: -8.39
Distance to the lowest polymorph of the same formula in eV/atom: 0.000
Space-group type: I4mm
Energy of formation from the pure elements in eV per atom: 0.12